No. 1
Ce2PrU3P6 | PBE-GGA | relaxed

Lattice parameters (Å, degrees): 6.934 6.934 7.076 99.40 99.40 120.00
Sites, in units of the cell vectors:
P: 0.088 0.426 0.265
P: 0.912 0.574 0.735
P: 0.426 0.088 0.265
U: 0.500 0.500 0.500
U: 0.165 0.835 0.500
Ce: 0.333 0.667 0.000
U: 0.835 0.165 0.500
Ce: 0.667 0.333 0.000
Pr: 0.000 0.000 0.000
P: 0.250 0.250 0.736
P: 0.574 0.912 0.735
P: 0.750 0.750 0.264

- energy relative to the elements (eV per atom) = -1.224
- magnetic moment (μB per formula unit) = 7.8
- electronic total energy (eV for the cell shown) = -97.66


No. 2
Ce3PrY2P6 | PBE-GGA | relaxed

Lattice parameters (Å, degrees): 7.076 7.076 7.063 99.62 99.62 120.01
Sites, in units of the cell vectors:
P: 0.744 0.744 0.251
Ce: 0.500 0.500 0.500
P: 0.916 0.576 0.748
Pr: 0.000 0.000 0.000
Y: 0.667 0.333 0.000
Ce: 0.835 0.165 0.500
P: 0.256 0.256 0.749
P: 0.424 0.084 0.252
P: 0.084 0.424 0.252
P: 0.576 0.916 0.748
Ce: 0.165 0.835 0.500
Y: 0.333 0.667 0.000

- energy relative to the elements (eV per atom) = -1.545
- magnetic moment (μB per formula unit) = 1.5
- electronic total energy (eV for the cell shown) = -86.51


No. 3
CePr3Y2P6 | PBE-GGA | relaxed

Lattice parameters (Å, degrees): 7.127 7.127 7.143 99.57 99.57 119.99
Sites, in units of the cell vectors:
P: 0.588 0.921 0.761
Ce: 0.000 0.000 0.000
Y: 0.333 0.667 0.000
Pr: 0.833 0.167 0.500
Pr: 0.167 0.833 0.500
P: 0.921 0.588 0.761
P: 0.253 0.253 0.762
Pr: 0.500 0.500 0.500
P: 0.747 0.747 0.238
P: 0.412 0.079 0.239
Y: 0.667 0.333 0.000
P: 0.079 0.412 0.239

- energy relative to the elements (eV per atom) = -1.554
- magnetic moment (μB per formula unit) = 0.3
- electronic total energy (eV for the cell shown) = -84.31


No. 4
Ce3Pr2YP6 | PBE-GGA | relaxed

Lattice parameters (Å, degrees): 7.127 7.127 7.122 99.61 99.61 120.01
Sites, in units of the cell vectors:
P: 0.241 0.241 0.743
P: 0.915 0.588 0.744
Ce: 0.500 0.500 0.500
Ce: 0.832 0.168 0.500
P: 0.588 0.915 0.744
P: 0.759 0.759 0.257
Ce: 0.168 0.832 0.500
Pr: 0.666 0.334 0.000
P: 0.085 0.412 0.256
Pr: 0.334 0.666 0.000
Y: 0.000 0.000 0.000
P: 0.412 0.085 0.256

- energy relative to the elements (eV per atom) = -1.528
- magnetic moment (μB per formula unit) = 1.5
- electronic total energy (eV for the cell shown) = -84.62


No. 5
Ce2PrYP4 | PBE-GGA | relaxed

Lattice parameters (Å, degrees): 4.100 7.092 7.103 70.52 90.00 90.00
Sites, in units of the cell vectors:
Ce: 0.000 0.000 0.000
P: 0.000 0.756 0.742
Pr: 0.500 0.500 0.000
P: 0.000 0.244 0.258
Ce: 0.500 0.000 0.500
P: 0.500 0.752 0.255
P: 0.500 0.248 0.745
Y: 0.000 0.500 0.500

- energy relative to the elements (eV per atom) = -1.535
- magnetic moment (μB per formula unit) = 1.0
- electronic total energy (eV for the cell shown) = -57.03


No. 6
CePr2YP4 | PBE-GGA | relaxed

Lattice parameters (Å, degrees): 4.126 7.130 7.151 109.38 90.00 90.00
Sites, in units of the cell vectors:
Ce: 0.500 0.500 0.000
P: 0.500 0.247 0.238
Y: 0.000 0.000 0.000
Pr: 0.000 0.500 0.500
P: 0.000 0.253 0.761
P: 0.000 0.747 0.239
P: 0.500 0.753 0.762
Pr: 0.500 0.000 0.500

- energy relative to the elements (eV per atom) = -1.543
- magnetic moment (μB per formula unit) = 0.4
- electronic total energy (eV for the cell shown) = -55.94


No. 7
Ce8PPt2 | PBE-GGA | relaxed

Lattice parameters (Å, degrees): 5.084 7.968 7.968 117.35 98.53 98.53
Sites, in units of the cell vectors:
Ce: 0.339 0.617 0.617
P: 0.500 0.000 0.000
Ce: 0.076 0.280 0.078
Pt: 0.000 0.688 0.312
Ce: 0.500 0.775 0.225
Pt: 0.000 0.312 0.688
Ce: 0.924 0.922 0.720
Ce: 0.661 0.383 0.383
Ce: 0.500 0.225 0.775
Ce: 0.076 0.078 0.280
Ce: 0.924 0.720 0.922

- energy relative to the elements (eV per atom) = -0.517
- magnetic moment (μB per formula unit) = 2.1
- electronic total energy (eV for the cell shown) = -70.65


No. 8
CeP2Pt4 | PBE-GGA | relaxed

Lattice parameters (Å, degrees): 4.161 7.408 15.682 90.00 90.00 90.00
Sites, in units of the cell vectors:
P: 0.250 0.812 0.808
Pt: 0.250 0.262 0.126
Ce: 0.250 0.350 0.320
P: 0.750 0.688 0.308
Pt: 0.250 0.981 0.683
Pt: 0.750 0.371 0.002
Ce: 0.750 0.650 0.680
Pt: 0.750 0.519 0.183
P: 0.750 0.209 0.443
Pt: 0.250 0.129 0.502
Pt: 0.750 0.871 0.498
Pt: 0.750 0.019 0.317
Pt: 0.250 0.629 0.998
P: 0.250 0.791 0.557
Pt: 0.250 0.975 0.941
P: 0.750 0.709 0.057
Pt: 0.750 0.738 0.874
Ce: 0.250 0.850 0.180
Pt: 0.250 0.475 0.559
P: 0.250 0.312 0.692
Pt: 0.250 0.481 0.817
P: 0.250 0.291 0.943
P: 0.750 0.188 0.192
Pt: 0.250 0.762 0.374
Pt: 0.750 0.025 0.059
Pt: 0.750 0.238 0.626
Pt: 0.750 0.525 0.441
Ce: 0.750 0.150 0.820

- energy relative to the elements (eV per atom) = -0.878
- magnetic moment (μB per formula unit) = 0.5
- electronic total energy (eV for the cell shown) = -188.26


No. 9
CeP2Pt4 | PBE-GGA | relaxed

Lattice parameters (Å, degrees): 3.879 7.799 7.799 90.00 90.00 90.00
Sites, in units of the cell vectors:
Ce: 0.500 0.000 0.000
Pt: 0.500 0.185 0.567
Pt: 0.500 0.433 0.815
Pt: 0.000 0.933 0.685
Ce: 0.000 0.500 0.500
Pt: 0.000 0.315 0.067
Pt: 0.500 0.815 0.433
Pt: 0.000 0.685 0.933
P: 0.500 0.727 0.727
P: 0.000 0.773 0.227
P: 0.500 0.273 0.273
P: 0.000 0.227 0.773
Pt: 0.000 0.067 0.315
Pt: 0.500 0.567 0.185

- energy relative to the elements (eV per atom) = -0.763
- magnetic moment (μB per formula unit) = 0.3
- electronic total energy (eV for the cell shown) = -92.52


No. 10
CeP2Pt2 | PBE-GGA | relaxed

Lattice parameters (Å, degrees): 4.104 4.104 5.917 110.29 110.29 90.00
Sites, in units of the cell vectors:
P: 0.389 0.389 0.777
Pt: 0.250 0.750 0.500
Pt: 0.750 0.250 0.500
Ce: 0.000 0.000 0.000
P: 0.611 0.611 0.223

- energy relative to the elements (eV per atom) = -0.858
- magnetic moment (μB per formula unit) = 0.0
- electronic total energy (eV for the cell shown) = -33.12


No. 11
CePPt4 | PBE-GGA | relaxed

Lattice parameters (Å, degrees): 4.027 6.777 7.937 90.00 104.69 90.00
Sites, in units of the cell vectors:
Pt: 0.919 0.250 0.838
Pt: 0.317 0.459 0.634
Pt: 0.081 0.750 0.162
Ce: 0.895 0.750 0.791
P: 0.239 0.750 0.478
Pt: 0.317 0.041 0.634
Pt: 0.500 0.500 0.000
Pt: 0.683 0.959 0.366
Pt: 0.683 0.541 0.366
Pt: 0.500 0.000 0.000
P: 0.761 0.250 0.522
Ce: 0.105 0.250 0.209

- energy relative to the elements (eV per atom) = -0.765
- magnetic moment (μB per formula unit) = 0.4
- electronic total energy (eV for the cell shown) = -80.19


No. 12
Ce2P2Pt3 | PBE-GGA | relaxed

Lattice parameters (Å, degrees): 4.066 5.369 7.038 112.37 90.00 112.25
Sites, in units of the cell vectors:
Pt: 0.500 0.000 0.000
P: 0.150 0.301 0.215
P: 0.850 0.699 0.785
Ce: 0.866 0.732 0.230
Pt: 0.378 0.756 0.562
Ce: 0.134 0.268 0.770
Pt: 0.622 0.244 0.438

- energy relative to the elements (eV per atom) = -1.015
- magnetic moment (μB per formula unit) = 0.5
- electronic total energy (eV for the cell shown) = -47.92


No. 13
Ce4PPt | PBE-GGA | relaxed

Lattice parameters (Å, degrees): 7.203 6.780 7.723 108.94 111.01 104.20
Sites, in units of the cell vectors:
P: 0.991 0.741 0.482
Ce: 0.048 0.662 0.850
Pt: 0.652 0.402 0.804
Pt: 0.348 0.598 0.196
P: 0.009 0.259 0.518
Ce: 0.952 0.338 0.150
Ce: 0.738 0.973 0.634
Ce: 0.302 0.188 0.850
Ce: 0.698 0.812 0.150
Ce: 0.604 0.339 0.366
Ce: 0.262 0.027 0.366
Ce: 0.396 0.661 0.634

- energy relative to the elements (eV per atom) = -0.714
- magnetic moment (μB per formula unit) = 3.2
- electronic total energy (eV for the cell shown) = -78.94


No. 14
Ce3P4Pt4 | PBE-GGA | relaxed

Lattice parameters (Å, degrees): 4.170 4.138 12.454 80.43 80.53 90.00
Sites, in units of the cell vectors:
P: 0.433 0.453 0.095
P: 0.567 0.547 0.905
P: 0.272 0.809 0.383
Pt: 0.711 0.741 0.518
Ce: 0.849 0.354 0.293
P: 0.728 0.191 0.617
Pt: 0.289 0.259 0.482
Ce: 0.000 0.000 0.000
Pt: 0.581 0.094 0.811
Ce: 0.151 0.646 0.707
Pt: 0.419 0.906 0.189

- energy relative to the elements (eV per atom) = -1.131
- magnetic moment (μB per formula unit) = 1.7
- electronic total energy (eV for the cell shown) = -76.04


No. 15
CePPt2 | PBE-GGA | relaxed

Lattice parameters (Å, degrees): 4.955 4.955 6.040 65.78 65.78 60.00
Sites, in units of the cell vectors:
Pt: 0.864 0.864 0.408
Pt: 0.136 0.136 0.592
P: 0.000 0.000 0.000
Ce: 0.500 0.500 0.500

- energy relative to the elements (eV per atom) = -0.298
- magnetic moment (μB per formula unit) = 0.6
- electronic total energy (eV for the cell shown) = -24.62


No. 16
Ce2PPt3 | PBE-GGA | relaxed

Lattice parameters (Å, degrees): 3.766 4.218 7.798 90.00 90.00 90.00
Sites, in units of the cell vectors:
P: 0.500 0.500 0.326
Pt: 0.500 0.500 0.633
Ce: 0.000 0.000 0.499
Pt: 0.500 0.000 0.847
Ce: 0.000 0.500 0.006
Pt: 0.500 0.000 0.190

- energy relative to the elements (eV per atom) = -1.153
- magnetic moment (μB per formula unit) = 0.5
- electronic total energy (eV for the cell shown) = -42.32


No. 17
CePPt3 | PBE-GGA | relaxed

Lattice parameters (Å, degrees): 4.048 4.049 6.209 70.97 70.97 90.00
Sites, in units of the cell vectors:
Pt: 0.137 0.441 0.431
P: 0.023 0.827 0.659
Pt: 0.637 0.941 0.431
Pt: 0.816 0.619 0.074
Ce: 0.394 0.198 0.917

- energy relative to the elements (eV per atom) = -1.002
- magnetic moment (μB per formula unit) = 0.4
- electronic total energy (eV for the cell shown) = -34.48


No. 18
Ce2P3Pt9 | PBE-GGA | relaxed

Lattice parameters (Å, degrees): 7.951 7.951 9.928 90.27 112.46 121.13
Sites, in units of the cell vectors:
Ce: 0.649 0.751 0.241
Pt: 0.570 0.229 0.581
P: 0.109 0.823 0.487
Pt: 0.117 0.867 0.250
Pt: 0.226 0.494 0.586
Pt: 0.430 0.771 0.419
Pt: 0.852 0.011 0.081
Pt: 0.784 0.295 0.925
Pt: 0.408 0.640 0.914
Pt: 0.592 0.360 0.086
Pt: 0.148 0.989 0.919
P: 0.836 0.623 0.013
Pt: 0.883 0.133 0.750
Pt: 0.698 0.725 0.802
Ce: 0.010 0.408 0.259
Ce: 0.990 0.592 0.741
Pt: 0.870 0.859 0.575
Pt: 0.423 0.896 0.698
P: 0.500 0.500 0.500
Pt: 0.302 0.275 0.198
Pt: 0.774 0.506 0.414
Pt: 0.130 0.141 0.425
Ce: 0.351 0.249 0.759
P: 0.891 0.177 0.513
Pt: 0.577 0.104 0.302
Pt: 0.216 0.705 0.075
P: 0.164 0.377 0.987
P: 0.500 0.000 0.000

- energy relative to the elements (eV per atom) = -0.687
- magnetic moment (μB per formula unit) = 0.0
- electronic total energy (eV for the cell shown) = -184.16


No. 19
CeP2Pt2 | PBE-GGA | relaxed

Lattice parameters (Å, degrees): 10.073 10.073 10.073 155.31 155.31 35.19
Sites, in units of the cell vectors:
Ce: 0.627 0.627 0.000
P: 0.929 0.929 0.000
Pt: 0.500 0.000 0.500
P: 0.071 0.071 0.000
P: 0.750 0.250 0.500
Pt: 0.193 0.193 0.000
Ce: 0.373 0.373 0.000
Pt: 0.807 0.807 0.000
P: 0.250 0.750 0.500
Pt: 0.000 0.500 0.500

- energy relative to the elements (eV per atom) = -0.966
- magnetic moment (μB per formula unit) = 0.8
- electronic total energy (eV for the cell shown) = -67.33


No. 20
RbCeP2Pt4 | PBE-GGA | relaxed

Lattice parameters (Å, degrees): 4.209 4.209 10.653 90.00 90.00 90.00
Sites, in units of the cell vectors:
P: 0.500 0.500 0.704
Pt: 0.000 0.500 0.198
Rb: 0.000 0.000 0.500
Pt: 0.500 0.000 0.802
Ce: 0.000 0.000 0.000
P: 0.500 0.500 0.296
Pt: 0.500 0.000 0.198
Pt: 0.000 0.500 0.802

- energy relative to the elements (eV per atom) = -0.680
- magnetic moment (μB per formula unit) = 0.8
- electronic total energy (eV for the cell shown) = -47.32


No. 21
Ce2P4Pt3Rh | PBE-GGA | relaxed

Lattice parameters (Å, degrees): 4.305 4.305 9.427 90.00 90.00 90.00
Sites, in units of the cell vectors:
Pt: 0.000 0.500 0.117
P: 0.500 0.500 0.000
P: 0.000 0.500 0.370
Ce: 0.500 0.000 0.247
Ce: 0.000 0.500 0.753
P: 0.000 0.000 0.000
Pt: 0.000 0.000 0.500
P: 0.500 0.000 0.630
Pt: 0.500 0.000 0.883
Rh: 0.500 0.500 0.500

- energy relative to the elements (eV per atom) = -1.001
- magnetic moment (μB per formula unit) = 1.3
- electronic total energy (eV for the cell shown) = -68.99